## Yb4Ge6Rh7 (PBE)

Data for a geometry-optimized Yb4Ge6Rh7 structure.

## Properties
E_form ... -0.790 eV per atom
Density of states at the Fermi level ... 3.495 states/eV/atom
Theoretical density ... 10368 kg/m3

abc: 7.272 7.272 7.272
angles: 109.47 109.47 109.47
Sites, in units of the cell vectors:
Yb: 0.000 0.000 0.500
Yb: 0.000 0.500 0.000
Yb: 0.500 0.000 0.000
Yb: 0.500 0.500 0.500
Ge: 0.000 0.322 0.322
Ge: 0.000 0.678 0.678
Ge: 0.322 0.000 0.322
Ge: 0.322 0.322 0.000
Ge: 0.678 0.000 0.678
Ge: 0.678 0.678 0.000
Rh: 0.000 0.000 0.000
Rh: 0.250 0.500 0.750
Rh: 0.250 0.750 0.500
Rh: 0.500 0.250 0.750
Rh: 0.500 0.750 0.250
Rh: 0.750 0.250 0.500
Rh: 0.750 0.500 0.250



## YTm12In3 (PBE)

Data for a geometry-optimized YTm12In3 structure.

## Properties
E_form ... -0.183 eV per atom
Density of states at the Fermi level ... 1.103 states/eV/atom
Theoretical density ... 9067 kg/m3

abc: 4.805 4.805 19.519
angles: 90.00 90.00 90.00
Sites, in units of the cell vectors:
Y: 0.000 0.000 0.000
Tm: 0.000 0.500 0.131
Tm: 0.000 0.500 0.378
Tm: 0.000 0.500 0.622
Tm: 0.000 0.500 0.869
Tm: 0.500 0.000 0.131
Tm: 0.500 0.000 0.378
Tm: 0.500 0.000 0.622
Tm: 0.500 0.000 0.869
Tm: 0.500 0.500 0.000
Tm: 0.500 0.500 0.256
Tm: 0.500 0.500 0.500
Tm: 0.500 0.500 0.744
In: 0.000 0.000 0.256
In: 0.000 0.000 0.500
In: 0.000 0.000 0.744



## LaCdAg2 (PBE)

Data for a geometry-optimized LaCdAg2 structure.

## Properties
E_form ... -0.161 eV per atom
Density of states at the Fermi level ... 0.720 states/eV/atom
Theoretical density ... 8222 kg/m3

abc: 3.576 3.576 7.377
angles: 90.00 90.00 90.00
Sites, in units of the cell vectors:
La: 0.000 0.000 0.000
Cd: 0.500 0.500 0.685
Ag: 0.000 0.000 0.481
Ag: 0.500 0.500 0.281



## La2TlW (PBE)

Data for a geometry-optimized La2TlW structure.

## Properties
E_form ... 0.606 eV per atom
Density of states at the Fermi level ... 1.138 states/eV/atom
Theoretical density ... 9779 kg/m3

abc: 8.577 8.577 6.149
angles: 90.00 90.00 90.00
Sites, in units of the cell vectors:
La: 0.195 0.250 0.125
La: 0.250 0.695 0.375
La: 0.250 0.805 0.875
La: 0.305 0.250 0.625
La: 0.695 0.750 0.625
La: 0.750 0.195 0.875
La: 0.750 0.305 0.375
La: 0.805 0.750 0.125
Tl: 0.000 0.000 0.500
Tl: 0.000 0.500 0.750
Tl: 0.500 0.000 0.250
Tl: 0.500 0.500 0.000
W: 0.000 0.000 0.000
W: 0.000 0.500 0.250
W: 0.500 0.000 0.750
W: 0.500 0.500 0.500